# GGA-PBE AcEr2In9, optimized geometry
data_AcEr2In9
_cell_length_a 4.743
_cell_length_b 4.743
_cell_length_c 14.099
_cell_angle_alpha 90.00
_cell_angle_beta 90.00
_cell_angle_gamma 90.00
_space_group_name_H-M_alt 'P 4/m m m'
_space_group_IT_number 123
_space_group_name_Hall '-P 4 2'
loop_
_atom_site_label
_atom_site_fract_x
_atom_site_fract_y
_atom_site_fract_z
Ac1 0.000 0.000 0.000
Er1 0.000 0.000 0.342
In1 0.000 0.500 0.180
In2 0.000 0.500 0.500
In3 0.500 0.500 0.000
In4 0.500 0.500 0.338
# * crystal system: tetragonal
# * total magnetization: 0.0 μB/f.u.
# * uncorrected energy: -3.5371 eV/atom
# * ΔE_f: -0.3804 eV per atom